A) ## Mg2AsIrRu (PBE-GGA)

Data for a relaxed structure of Mg2AsIrRu.

abc: 4.7536 4.7536 4.4658
angles: 90.00 90.00 90.00
Last column: nearest neighbours and their distance in Å.
Space group P4/mmm (No. 123)
Inequivalent atoms, fractional coordinates:
1 Mg 0.0000 0.5000 0.0000 [2 per cell]  2 As 2.38
2 As 0.0000 0.0000 0.0000 [1 per cell]  2 Ru 2.23, 4 Mg 2.38
3 Ir 0.5000 0.5000 0.5000 [1 per cell]  8 Mg 3.26, 4 Ru 3.36
4 Ru 0.0000 0.0000 0.5000 [1 per cell]  2 As 2.23

## Properties
Density, g/cm³: 6.9

B) ## Mg2AsIrRu (PBE-GGA)

Data for a relaxed structure of Mg2AsIrRu.

abc: 4.9334 4.9334 4.5378
angles: 90.00 90.00 90.00
Last column: nearest neighbours and their distance in Å.
Space group P4/mmm (No. 123)
Inequivalent atoms, fractional coordinates:
1 Mg 0.0000 0.5000 0.0000 [2 per cell]  2 Ir 2.47
2 As 0.0000 0.0000 0.5000 [1 per cell]  2 Ir 2.27
3 Ir 0.0000 0.0000 0.0000 [1 per cell]  2 As 2.27, 4 Mg 2.47
4 Ru 0.5000 0.5000 0.5000 [1 per cell]  8 Mg 3.35, 4 As 3.49

## Properties
Density, g/cm³: 6.3

The structure with the most favorable energy is B); the runner-up is 0.168 eV/atom above it.

A) ## MnAs2Ir (PBE-GGA)

Data for a relaxed structure of MnAs2Ir.

abc: 2.8791 4.0756 5.6101
angles: 90.00 90.00 90.00
Last column: nearest neighbours and their distance in Å.
Space group Pmmm (No. 47)
Inequivalent atoms, fractional coordinates:
1 Mn 0.0000 0.0000 0.0000 [1 per cell]  8 As 2.84, 2 Mn 2.88, 4 Ir 3.15
2 As 0.5000 0.5000 0.2418 [2 per cell]  2 Ir 2.50, 1 As 2.71
3 Ir 0.5000 0.0000 0.5000 [1 per cell]  4 As 2.50

## Properties
Density, g/cm³: 10.0

B) ## MnAs2Ir (PBE-GGA)

Data for a relaxed structure of MnAs2Ir.

abc: 3.6380 3.7671 11.5890
angles: 90.00 90.00 90.00
Last column: nearest neighbours and their distance in Å.
Space group Immm (No. 71)
Inequivalent atoms, fractional coordinates:
1 Mn 0.0000 0.0000 0.0000 [2 per cell]  4 As 2.57, 4 Ir 2.62
2 As 0.0000 0.5000 0.1505 [4 per cell]  2 Ir 2.52, 2 Mn 2.57
3 Ir 0.0000 0.0000 0.5000 [2 per cell]  4 As 2.52, 4 Mn 2.62

## Properties
Density, g/cm³: 8.3

C) ## MnAs2Ir (PBE-GGA)

Data for a relaxed structure of MnAs2Ir.

abc: 3.0321 4.6066 4.3917
angles: 90.00 90.00 90.00
Last column: nearest neighbours and their distance in Å.
Space group Pmm2 (No. 25)
Inequivalent atoms, fractional coordinates:
1 Mn 0.0000 0.0000 0.0000 [1 per cell]  6 As 2.51-2.73
2 As 0.0000 0.5000 0.7733 [1 per cell]  2 Mn 2.51, 4 Ir 2.54-2.80
3 As 0.5000 0.0000 0.4831 [1 per cell]  2 Ir 2.54, 4 Mn 2.61-2.73
4 Ir 0.5000 0.5000 0.2385 [1 per cell]  6 As 2.54-2.80

## Properties
Density, g/cm³: 10.7

The structure with the most favorable energy is C); the runner-up is 0.109 eV/atom above it.

A) ## MnAs2Ir (PBE-GGA)

Data for a relaxed structure of MnAs2Ir.

abc: 4.4988 4.4988 3.0307
angles: 90.00 90.00 90.00
Last column: nearest neighbours and their distance in Å.
Space group P4/mmm (No. 123)
Inequivalent atoms, fractional coordinates:
1 Mn 0.0000 0.0000 0.0000 [1 per cell]  8 As 2.71, 2 Mn 3.03
2 As 0.0000 0.5000 0.5000 [2 per cell]  4 Ir 2.71, 4 Mn 2.71, 2 As 3.03
3 Ir 0.5000 0.5000 0.0000 [1 per cell]  8 As 2.71, 2 Ir 3.03

## Properties
Density, g/cm³: 10.7

B) ## MnAs2Ir (PBE-GGA)

Data for a relaxed structure of MnAs2Ir.

abc: 2.9975 4.4406 9.5637
angles: 90.00 90.00 90.00
Last column: nearest neighbours and their distance in Å.
Space group Imm2 (No. 44)
Inequivalent atoms, fractional coordinates:
1 Mn 0.0000 0.0000 0.0000 [2 per cell]  6 As 2.68-2.71, 2 Ir 2.98, 2 Mn 3.00
2 As 0.0000 0.0000 0.5153 [2 per cell]  2 Ir 2.55, 4 Mn 2.68
3 As 0.0000 0.5000 0.7355 [2 per cell]  4 Ir 2.68, 2 Mn 2.71, 2 As 3.00
4 Ir 0.0000 0.5000 0.2308 [2 per cell]  6 As 2.55-2.68

## Properties
Density, g/cm³: 10.4

The structure with the most favorable energy is A); the runner-up is 0.058 eV/atom above it.